This record from OQMD via LeMat-Bulk describes a relaxed structure of Dy3In3Ir2Au. The functional is PBE-GGA.

Cell lengths 7.6385, 7.6385, 3.9182 Å; angles 90.00, 90.00, 120.00 degrees
Space group P-62m (No. 189)
Asymmetric unit:
1 Dy 0.0000 0.4092 0.0000 x3
2 In 0.0000 0.7320 0.5000 x3
3 Ir 0.3333 0.6667 0.5000 x2
4 Au 0.0000 0.0000 0.0000 x1

Output
Electronic total energy = -0.4030 Ry per atom

---

This record from OQMD via LeMat-Bulk describes a relaxed structure of TbDy2In3IrAu2. The functional is PBE-GGA.

Cell lengths 3.954, 13.368, 7.712 Å; angles 90.00, 90.00, 90.00 degrees
Space group Amm2 (No. 38)
Asymmetric unit:
1 Tb 0.000 0.000 0.000 x2
2 Dy 0.000 0.198 0.595 x4
3 In 0.500 0.000 0.652 x2
4 In 0.500 0.127 0.270 x4
5 Ir 0.000 0.000 0.398 x2
6 Au 0.500 0.167 0.897 x4

Output
Electronic total energy = -0.3600 Ry per atom

---

This record from OQMD via LeMat-Bulk describes a relaxed structure of DyTm2In3Ir2Au. The functional is PBE-GGA.

Cell lengths 3.824, 13.311, 7.640 Å; angles 90.00, 90.00, 90.00 degrees
Space group Amm2 (No. 38)
Asymmetric unit:
1 Dy 0.000 0.000 0.000 x2
2 Tm 0.000 0.204 0.613 x4
3 In 0.500 0.000 0.678 x2
4 In 0.500 0.135 0.274 x4
5 Ir 0.500 0.168 0.907 x4
6 Au 0.000 0.000 0.409 x2

Output
Electronic total energy = -0.4008 Ry per atom

---

This record from OQMD via LeMat-Bulk describes a relaxed structure of Dy2TmIn3IrAu2. The functional is PBE-GGA.

Cell lengths 3.924, 13.326, 7.712 Å; angles 90.00, 90.00, 90.00 degrees
Space group Amm2 (No. 38)
Asymmetric unit:
1 Dy 0.000 0.198 0.000 x4
2 Tm 0.000 0.000 0.408 x2
3 In 0.500 0.000 0.057 x2
4 In 0.500 0.128 0.674 x4
5 Ir 0.000 0.000 0.800 x2
6 Au 0.500 0.165 0.303 x4

Output
Electronic total energy = -0.3584 Ry per atom

---

This record from OQMD via LeMat-Bulk describes a relaxed structure of DyTm2In3IrAu2. The functional is PBE-GGA.

Cell lengths 3.899, 13.344, 7.685 Å; angles 90.00, 90.00, 90.00 degrees
Space group Amm2 (No. 38)
Asymmetric unit:
1 Dy 0.000 0.000 0.000 x2
2 Tm 0.000 0.197 0.406 x4
3 In 0.500 0.000 0.346 x2
4 In 0.500 0.128 0.731 x4
5 Ir 0.000 0.000 0.601 x2
6 Au 0.500 0.168 0.104 x4

Output
Electronic total energy = -0.3572 Ry per atom

---

This record from OQMD via LeMat-Bulk describes a relaxed structure of DyY2In3IrAu2. The functional is PBE-GGA.

Cell lengths 3.947, 13.378, 7.716 Å; angles 90.00, 90.00, 90.00 degrees
Space group Amm2 (No. 38)
Asymmetric unit:
1 Dy 0.000 0.000 0.000 x2
2 Y 0.000 0.198 0.594 x4
3 In 0.500 0.000 0.651 x2
4 In 0.500 0.128 0.269 x4
5 Ir 0.000 0.000 0.394 x2
6 Au 0.500 0.166 0.896 x4

Output
Electronic total energy = -0.3905 Ry per atom